Below is a relaxed structure of SrOs2Cl, with properties calculated at the PBE-GGA level.

Calculated values
Distance to the lowest polymorph of the same formula: 0.857 eV per atom
Magnetization: 0.0 μB per formula unit
Volume: 24.2 Å³ per atom

Unit cell a=5.000 b=5.000 c=8.521 alpha=72.94 beta=72.94 gamma=90.00
Element x y z (fractional)
Sr1 0.000 0.000 0.000
Sr2 0.750 0.250 0.500
Os1 0.388 0.125 0.250
Os2 0.362 0.625 0.250
Os3 0.375 0.612 0.750
Os4 0.875 0.638 0.750
Cl1 0.500 0.500 0.000
Cl2 0.250 0.750 0.500

Below is a relaxed structure of LiAcCdSb, with properties calculated at the PBE-GGA level.

Calculated values
Magnetization: 0.0 μB per formula unit
Volume: 29.0 Å³ per atom

Unit cell a=5.472 b=5.472 c=5.472 alpha=60.00 beta=60.00 gamma=60.00
Element x y z (fractional)
Sb1 0.250 0.250 0.250
Ac1 0.500 0.500 0.500
Li1 0.000 0.000 0.000
Cd1 0.750 0.750 0.750

Below is a relaxed structure of InPbCl2, with properties calculated at the PBE-GGA level.

Calculated values
Distance to the lowest polymorph of the same formula: 0.080 eV per atom
Magnetization: 0.0 μB per formula unit
Volume: 27.5 Å³ per atom

Unit cell a=3.822 b=6.166 c=4.668 alpha=90.00 beta=90.00 gamma=90.00
Element x y z (fractional)
Pb1 0.000 0.500 0.500
Cl1 0.000 0.000 0.000
Cl2 0.500 0.500 0.000
In1 0.500 0.000 0.500

no.,ΔE_f (raw) (eV per atom)
1,0.788
2,-0.463
3,-0.629